Record 1
A plane-wave DFT calculation with PBE-GGA was carried out for crystalline RbTl2Sn2 at its relaxed geometry.

Calculated values
ΔE to the lowest computed polymorph	0.076	eV per atom
calculated formation energy	-0.036	eV/atom
space group	P4/mbm

Cell lengths 9.603, 9.603, 3.654 Å; angles 90.00, 90.00, 90.00 degrees
Atoms (fractional coordinates):
Rb: 0.000 0.000 0.000
Rb: 0.500 0.500 0.000
Tl: 0.166 0.334 0.500
Tl: 0.334 0.834 0.500
Tl: 0.666 0.166 0.500
Tl: 0.834 0.666 0.500
Sn: 0.118 0.618 0.000
Sn: 0.382 0.118 0.000
Sn: 0.618 0.882 0.000
Sn: 0.882 0.382 0.000

***

Record 2
A plane-wave DFT calculation with PBE-GGA was carried out for crystalline RbTlSn4 at its relaxed geometry.

Calculated values
ΔE to the lowest computed polymorph	0.000	eV per atom
calculated formation energy	-0.066	eV/atom
space group	Immm

Cell lengths 4.834, 7.923, 10.342 Å; angles 90.00, 90.00, 90.00 degrees
Atoms (fractional coordinates):
Rb: 0.000 0.000 0.000
Rb: 0.500 0.500 0.500
Tl: 0.000 0.500 0.000
Tl: 0.500 0.000 0.500
Sn: 0.000 0.193 0.331
Sn: 0.000 0.193 0.669
Sn: 0.000 0.807 0.331
Sn: 0.000 0.807 0.669
Sn: 0.500 0.307 0.169
Sn: 0.500 0.307 0.831
Sn: 0.500 0.693 0.169
Sn: 0.500 0.693 0.831

***

Record 3
A plane-wave DFT calculation with PBE-GGA was carried out for crystalline RbTlSn at its relaxed geometry.

Calculated values
calculated formation energy	-0.052	eV/atom
space group	Pnma

Cell lengths 13.604, 6.449, 5.492 Å; angles 90.00, 90.00, 90.00 degrees
Atoms (fractional coordinates):
Rb: 0.224 0.250 0.002
Rb: 0.276 0.750 0.502
Rb: 0.724 0.250 0.498
Rb: 0.776 0.750 0.998
Tl: 0.000 0.000 0.500
Tl: 0.000 0.500 0.500
Tl: 0.500 0.000 0.000
Tl: 0.500 0.500 0.000
Sn: 0.052 0.750 0.000
Sn: 0.448 0.250 0.500
Sn: 0.552 0.750 0.500
Sn: 0.948 0.250 0.000